1.
CaZnN3: relaxed, PBE-GGA.

Properties
Total moment: 0.309 μB/atom
Crystal system: cubic
Formation energy without anion corrections: 1.03 eV/atom
DFT total energy: -4.624 eV/atom

abc: 3.9226 3.9226 3.9226
angles: 90.00 90.00 90.00
Fractional positions:
Ca: 0.0000 0.0000 0.0000
Zn: 0.5000 0.5000 0.5000
N: 0.0000 0.5000 0.5000
N: 0.5000 0.0000 0.5000
N: 0.5000 0.5000 0.0000

2.
Ca8ZnN4: relaxed, PBE-GGA.

Properties
Total moment: 0.151 μB/atom
Crystal system: cubic
Formation energy without anion corrections: -0.58 eV/atom
DFT total energy: -4.472 eV/atom

abc: 7.5276 7.5276 7.5276
angles: 60.00 60.00 60.00
Fractional positions:
Ca: 0.0753 0.6416 0.6416
Ca: 0.1033 0.1033 0.1033
Ca: 0.1033 0.1033 0.6901
Ca: 0.1033 0.6901 0.1033
Ca: 0.6416 0.0753 0.6416
Ca: 0.6416 0.6416 0.0753
Ca: 0.6416 0.6416 0.6416
Ca: 0.6901 0.1033 0.1033
Zn: 0.2500 0.2500 0.2500
N: 0.3769 0.8744 0.8744
N: 0.8744 0.3769 0.8744
N: 0.8744 0.8744 0.3769
N: 0.8744 0.8744 0.8744

3.
Ca3ZnN2: relaxed, PBE-GGA.

Properties
Total moment: 0.000 μB/atom
Crystal system: orthorhombic
Formation energy without anion corrections: -0.41 eV/atom
DFT total energy: -4.397 eV/atom

abc: 7.2550 7.2550 7.2550
angles: 131.87 72.80 128.93
Fractional positions:
Ca: 0.0300 0.7500 0.2800
Ca: 0.2500 0.2500 0.0000
Ca: 0.4700 0.7500 0.7200
Ca: 0.5300 0.2500 0.2800
Ca: 0.7500 0.7500 0.0000
Ca: 0.9700 0.2500 0.7200
Zn: 0.0000 0.5000 0.5000
Zn: 0.5000 0.0000 0.5000
N: 0.1510 0.1710 0.3220
N: 0.3490 0.6710 0.0200
N: 0.6510 0.3290 0.9800
N: 0.8490 0.8290 0.6780

4.
CaZnN3: relaxed, PBE-GGA.

Properties
Total moment: 1.029 μB/atom
Crystal system: cubic
Formation energy without anion corrections: 2.09 eV/atom
DFT total energy: -3.555 eV/atom

abc: 4.4501 4.4501 4.4501
angles: 90.00 90.00 90.00
Fractional positions:
Ca: 0.0000 0.0000 0.0000
Zn: 0.5000 0.5000 0.5000
N: 0.0000 0.0000 0.5000
N: 0.0000 0.5000 0.0000
N: 0.5000 0.0000 0.0000

5.
CaZn3N: relaxed, PBE-GGA.

Properties
Excess energy over the best structure of this formula in the dataset: 1215 meV per atom
Total moment: 0.453 μB/atom
Crystal system: cubic
Formation energy without anion corrections: 1.61 eV/atom
DFT total energy: -1.224 eV/atom

abc: 6.1071 6.1071 6.1071
angles: 90.00 90.00 90.00
Fractional positions:
Ca: 0.0000 0.0000 0.0000
Zn: 0.0000 0.0000 0.5000
Zn: 0.0000 0.5000 0.0000
Zn: 0.5000 0.0000 0.0000
N: 0.5000 0.5000 0.5000

6.
Ca7Zn2N6: relaxed, PBE-GGA.

Properties
Total moment: 0.000 μB/atom
Crystal system: monoclinic
Formation energy without anion corrections: -0.61 eV/atom
DFT total energy: -5.046 eV/atom

abc: 6.7505 6.7505 6.1096
angles: 91.17 91.17 116.94
Fractional positions:
Ca: 0.0000 0.0000 0.0000
Ca: 0.1472 0.8528 0.5000
Ca: 0.1964 0.5138 0.1765
Ca: 0.4862 0.8036 0.8235
Ca: 0.5138 0.1964 0.1765
Ca: 0.8036 0.4862 0.8235
Ca: 0.8528 0.1472 0.5000
Zn: 0.3135 0.3135 0.6391
Zn: 0.6865 0.6865 0.3609
N: 0.1371 0.4554 0.7731
N: 0.1829 0.1829 0.3219
N: 0.4554 0.1371 0.7731
N: 0.5446 0.8629 0.2269
N: 0.8171 0.8171 0.6781
N: 0.8629 0.5446 0.2269

7.
Ca6ZnN2: relaxed, PBE-GGA.

Properties
Excess energy over the best structure of this formula in the dataset: 15 meV per atom
Total moment: 0.000 μB/atom
Crystal system: monoclinic
Formation energy without anion corrections: -0.44 eV/atom
DFT total energy: -3.768 eV/atom

abc: 7.1699 7.1699 9.1741
angles: 99.80 99.80 35.93
Fractional positions:
Ca: 0.0965 0.0965 0.2236
Ca: 0.1990 0.1990 0.8906
Ca: 0.3489 0.3489 0.3899
Ca: 0.6511 0.6511 0.6101
Ca: 0.8010 0.8010 0.1094
Ca: 0.9035 0.9035 0.7764
Zn: 0.0000 0.0000 0.5000
N: 0.2465 0.2465 0.1588
N: 0.7535 0.7535 0.8412

8.
CaZr2ZnN: relaxed, PBE-GGA.

Properties
Excess energy over the best structure of this formula in the dataset: 0 meV per atom
Total moment: 0.000 μB/atom
Crystal system: tetragonal
Formation energy without anion corrections: -0.60 eV/atom
DFT total energy: -6.340 eV/atom

abc: 4.4822 4.4822 4.7460
angles: 90.00 90.00 90.00
Fractional positions:
Ca: 0.0000 0.0000 0.0000
Zr: 0.0000 0.5000 0.5000
Zr: 0.5000 0.0000 0.5000
Zn: 0.5000 0.5000 0.0000
N: 0.0000 0.0000 0.5000